Here is an optimized crystal structure of AcY2Si4 from Alexandria via LeMat-Bulk. Energies are from PBE-GGA.

Values from the calculation:
V: 156.8 Å³/cell
Raw total energy: -0.4597 Ry per atom

abc: 3.9506 4.4841 9.3435
angles: 103.88 102.20 90.00
Closest atoms and distances in Å follow each position.
Fractional coordinates of all 7 atoms:
Y1 0.1832 0.1832 0.3664  7 Si 2.92-3.04
Si1 0.6516 0.6516 0.3032  2 Si 2.45
Ac1 0.5000 0.0000 0.0000  12 Si 3.23-3.50
Si2 0.9304 0.4304 0.8608  3 Si 2.45-2.46
Y2 0.8168 0.8168 0.6336  7 Si 2.92-3.04
Si3 0.0696 0.5696 0.1392  3 Si 2.45-2.46
Si4 0.3484 0.3484 0.6968  2 Si 2.45

Here is an optimized crystal structure of TaH3 from Alexandria via LeMat-Bulk. Energies are from PBE-GGA.

Values from the calculation:
V: 159.2 Å³/cell
Raw total energy: -0.3997 Ry per atom

abc: 5.7881 5.7881 5.4861
angles: 90.00 90.00 120.00
Closest atoms and distances in Å follow each position.
Fractional coordinates of all 24 atoms:
H1 0.0858 0.4003 0.5879  3 Ta 1.90-1.98, 4 H 1.98-2.10
H2 0.4003 0.0858 0.9121  3 Ta 1.90-1.98, 4 H 1.98-2.10
H3 0.6855 0.0858 0.4121  3 Ta 1.90-1.98, 4 H 1.98-2.10
H4 0.9142 0.3145 0.9121  3 Ta 1.90-1.98, 4 H 1.98-2.10
H5 0.3333 0.6667 0.8274  3 Ta 1.94, 6 H 1.99-2.06
H6 0.3145 0.9142 0.5879  3 Ta 1.90-1.98, 4 H 1.98-2.10
Ta1 0.6548 0.0000 0.7500  9 H 1.90-2.00
Ta2 0.6548 0.6548 0.2500  9 H 1.90-2.00
Ta3 0.3452 0.3452 0.7500  9 H 1.90-2.00
H7 0.0858 0.6855 0.0879  3 Ta 1.90-1.98, 4 H 1.98-2.10
H8 0.3145 0.4003 0.0879  3 Ta 1.90-1.98, 4 H 1.98-2.10
H9 0.6855 0.5997 0.9121  3 Ta 1.90-1.98, 4 H 1.98-2.10
Ta4 0.0000 0.6548 0.7500  9 H 1.90-2.00
H10 0.9142 0.5997 0.4121  3 Ta 1.90-1.98, 4 H 1.98-2.10
H11 0.6667 0.3333 0.6726  3 Ta 1.94, 6 H 1.99-2.06
H12 0.0000 0.0000 0.2500  3 Ta 2.00
H13 0.5997 0.9142 0.0879  3 Ta 1.90-1.98, 4 H 1.98-2.10
H14 0.6667 0.3333 0.1726  3 Ta 1.94, 6 H 1.99-2.06
Ta5 0.0000 0.3452 0.2500  9 H 1.90-2.00
Ta6 0.3452 0.0000 0.2500  9 H 1.90-2.00
H15 0.5997 0.6855 0.5879  3 Ta 1.90-1.98, 4 H 1.98-2.10
H16 0.3333 0.6667 0.3274  3 Ta 1.94, 6 H 1.99-2.06
H17 0.0000 0.0000 0.7500  3 Ta 2.00
H18 0.4003 0.3145 0.4121  3 Ta 1.90-1.98, 4 H 1.98-2.10

Here is an optimized crystal structure of BeCdTe3 from Alexandria via LeMat-Bulk. Energies are from PBE-GGA.

Values from the calculation:
V: 129.8 Å³/cell
Energy relative to the lowest polymorph listed for this composition: 0 meV per atom

abc: 5.0631 5.0631 5.0631
angles: 90.00 90.00 90.00
Closest atoms and distances in Å follow each position.
Fractional coordinates of all 5 atoms:
Te1 0.5000 0.0000 0.0000  2 Be 2.53
Te2 0.0000 0.0000 0.5000  2 Be 2.53
Te3 0.0000 0.5000 0.0000  2 Be 2.53
Be1 0.0000 0.0000 0.0000  6 Te 2.53
Cd1 0.5000 0.5000 0.5000  12 Te 3.58

Q: Which value of V does entry 2 give?
A: 159.2 Å³/cell

Q: Which formula does entry 3 have?
A: BeCdTe3